(1)
# Ca2PdSe2

An optimized crystal structure of Ca2PdSe2 (PBE, Alexandria via LeMat-Bulk).

The structure in POSCAR format:
```
Ca2PdSe2
1.0
7.716 0.000 0.000
0.000 7.716 0.000
0.000 0.000 3.874
Ca Pd Se
4 2 4
Cartesian
1.186 2.672 0.000
2.672 6.531 0.000
5.044 1.186 0.000
6.531 5.044 0.000
0.000 0.000 1.937
3.858 3.858 1.937
1.229 5.087 1.937
2.630 1.229 1.937
5.087 6.488 1.937
6.488 2.630 1.937
```

Summary:
Size of the total moment ... 0.00 μB/cell
Calculated total energy ... -4.519 eV per atom
Space-group type ... No. 127
Formation energy without anion corrections ... -124.1 kJ/mol of atoms

(2)
# SmY2Sc8

An optimized crystal structure of SmY2Sc8 (PBE, Alexandria via LeMat-Bulk).

The structure in POSCAR format:
```
SmY2Sc8
1.0
4.376 -8.095 0.000
4.376 8.095 0.000
-3.448 0.000 4.280
Sm Y Sc
1 2 8
Cartesian
0.000 0.000 0.000
2.652 3.081 2.140
2.652 -3.081 2.140
-0.518 2.092 3.110
4.376 4.820 0.000
-0.518 -2.092 3.110
3.485 0.000 1.095
1.819 0.000 3.185
5.822 2.092 1.169
4.376 -4.820 0.000
5.822 -2.092 1.169
```

Summary:
Size of the total moment ... 0.00 μB/cell
Calculated total energy ... -6.075 eV per atom
Space-group type ... No. 12

(3)
# Tm2GaAs

An optimized crystal structure of Tm2GaAs (PBE, Alexandria via LeMat-Bulk).

The structure in POSCAR format:
```
Tm2GaAs
1.0
3.783 0.000 0.000
-1.891 3.276 0.000
0.000 0.000 28.074
Tm Ga As
6 3 3
Cartesian
0.000 0.000 2.967
0.000 0.000 25.106
0.000 2.184 15.749
0.000 2.184 21.683
1.891 1.092 6.391
1.891 1.092 12.325
0.000 0.000 0.000
0.000 2.184 18.716
1.891 1.092 9.358
0.000 0.000 14.037
0.000 2.184 4.679
1.891 1.092 23.395
```

Summary:
Size of the total moment ... 0.00 μB/cell
Calculated total energy ... -4.583 eV per atom
Space-group type ... No. 166

(4)
# SmY6In

An optimized crystal structure of SmY6In (PBE, Alexandria via LeMat-Bulk).

The structure in POSCAR format:
```
SmY6In
1.0
4.639 2.678 3.394
-4.639 2.678 3.394
0.000 -5.356 3.394
Sm Y In
1 6 1
Cartesian
0.000 0.000 0.000
-1.009 -2.064 2.843
-1.284 1.906 2.843
-2.292 -0.159 7.337
2.292 0.159 2.843
1.284 -1.906 7.337
1.009 2.064 7.337
0.000 0.000 5.090
```

Summary:
Size of the total moment ... 0.00 μB/cell
Calculated total energy ... -5.798 eV per atom
Space-group type ... No. 148